[1]
TiFe2PdO6: optimized geometry, PBE with a Hubbard U.

Properties
Energy, eV/cell: -68.18

a = 5.187 Å, b = 5.062 Å, c = 5.712 Å
α = 62.64°, β = 60.24°, γ = 59.57°
Each line ends with the local moment (μB).
Element x y z (fractional)
Pd1 0.316 0.311 0.054  0.49
O1 0.105 0.447 0.711  0.07
O2 0.898 0.605 0.272  0.02
O3 0.233 0.895 0.276  0.01
O4 0.633 0.221 0.268  0.13
O5 0.706 0.109 0.741  0.01
O6 0.427 0.717 0.745  0.02
Fe1 0.513 0.510 0.468  1.29
Fe2 0.008 0.030 0.937  3.73
Ti1 0.823 0.815 0.543  0.10

[2]
MoPb3F8: optimized geometry, PBE with a Hubbard U.

Properties
Energy, eV/cell: -59.16
D(E_F), states/eV per cell: 6.89

a = 5.888 Å, b = 5.888 Å, c = 5.888 Å
α = 90.00°, β = 90.00°, γ = 90.00°
Each line ends with the local moment (μB).
Element x y z (fractional)
F1 0.240 0.240 0.760  0.00
F2 0.240 0.240 0.240  0.00
F3 0.240 0.760 0.240  0.00
F4 0.240 0.760 0.760  0.00
F5 0.760 0.760 0.760  0.00
F6 0.760 0.760 0.240  0.00
F7 0.760 0.240 0.760  0.00
F8 0.760 0.240 0.240  0.00
Mo1 0.000 0.000 0.000  3.58
Pb1 0.000 0.500 0.500  0.02
Pb2 0.500 0.000 0.500  0.02
Pb3 0.500 0.500 0.000  0.02